The following is a PBE calculation of Rb4MgH5 after structural relaxation, from Alexandria.

Calculated values
Space-group type: No. 79
Total energy, eV/atom: -2.308

a b c (Å): 5.7652 7.1256 7.1256
angles (deg): 80.58 66.14 66.14
Last column: nearest neighbours and their distance in Å.
Sites, in units of the cell vectors:
Rb 0.3864 0.4113 0.8353  5 H 2.88-3.06
Rb 0.7977 0.8353 0.5887  5 H 2.88-3.06
Rb 0.2218 0.1647 0.4113  5 H 2.88-3.06
Rb 0.6331 0.5887 0.1647  5 H 2.88-3.06
Mg 0.0593 0.0000 0.0000  5 H 1.95-2.02
H 0.9388 0.2717 0.8577  1 Mg 2.02
H 0.2105 0.8577 0.7283  1 Mg 2.02
H 0.7964 0.1423 0.2717  1 Mg 2.02
H 0.0682 0.7283 0.1423  1 Mg 2.02
H 0.3980 0.0000 0.0000  1 Mg 1.95

---

The following is a PBE calculation of Rb4Mg3H10 after structural relaxation, from Alexandria.

Calculated values
Space-group type: No. 139
Relative energy among the computed polymorphs, eV/atom: 0.0084

a b c (Å): 4.1199 4.1199 15.5332
angles (deg): 97.62 97.62 90.00
Last column: nearest neighbours and their distance in Å.
Sites, in units of the cell vectors:
Rb 0.5670 0.5670 0.1339  12 H 2.90-2.91
Rb 0.4330 0.4330 0.8661  12 H 2.90-2.91
Rb 0.2990 0.2990 0.5980  9 H 2.90-3.03
Rb 0.7010 0.7010 0.4020  9 H 2.90-3.03
Mg 0.1343 0.1343 0.2686  6 H 1.99-2.06
Mg 0.8657 0.8657 0.7314  6 H 1.99-2.06
Mg 0.0000 0.0000 0.0000  6 H 2.05-2.06
H 0.1343 0.6343 0.2686  2 Mg 2.06
H 0.0670 0.0670 0.1341  2 Mg 2.05
H 0.6343 0.1343 0.2686  2 Mg 2.06
H 0.8657 0.3657 0.7314  2 Mg 2.06
H 0.3657 0.8657 0.7314  2 Mg 2.06
H 0.9330 0.9330 0.8659  2 Mg 2.05
H 0.1996 0.1996 0.3991  1 Mg 1.99
H 0.8004 0.8004 0.6009  1 Mg 1.99
H 0.0000 0.5000 0.0000  2 Mg 2.06
H 0.5000 0.0000 0.0000  2 Mg 2.06

---

The following is a PBE calculation of Rb2MgH4 after structural relaxation, from Alexandria.

Calculated values
Space-group type: No. 63
Total energy, eV/atom: -2.574

a b c (Å): 6.6153 6.6153 8.7298
angles (deg): 90.00 90.00 104.22
Last column: nearest neighbours and their distance in Å.
Sites, in units of the cell vectors:
Rb 0.5000 0.5000 0.5000  4 H 2.84
Rb 0.5000 0.5000 0.0000  4 H 2.84
Rb 0.9129 0.0871 0.7500  6 H 2.73-3.05
Rb 0.0871 0.9129 0.2500  6 H 2.73-3.05
Mg 0.2569 0.7431 0.7500  4 H 1.83-1.88
Mg 0.7431 0.2569 0.2500  4 H 1.83-1.88
H 0.5486 0.7827 0.7500  1 Mg 1.88
H 0.7827 0.5486 0.2500  1 Mg 1.88
H 0.8359 0.1641 0.0716  1 Mg 1.83
H 0.8359 0.1641 0.4284  1 Mg 1.83
H 0.1641 0.8359 0.9284  1 Mg 1.83
H 0.1641 0.8359 0.5716  1 Mg 1.83
H 0.2173 0.4514 0.7500  1 Mg 1.88
H 0.4514 0.2173 0.2500  1 Mg 1.88